Here is a relaxed KY2Tl crystal from Alexandria. Energies are from PBE.

Calculated values
Energy relative to the lowest polymorph listed for this composition: 49.2 meV/atom
Space group: P4/mmm, No. 123
Formation energy from the elements: 84 meV/atom

Structure (extended XYZ):
```
4
Lattice="3.5732 0.0000 0.0000 0.0000 3.5732 0.0000 0.0000 0.0000 11.3269" Properties=species:S:1:pos:R:3 pbc="T T T"
K 0.0000 0.0000 0.0000
Y 1.7866 1.7866 3.5842
Y 1.7866 1.7866 7.7427
Tl 0.0000 0.0000 5.6634
```

=====

Here is a relaxed K4YTl crystal from Alexandria. Energies are from PBE.

Calculated values
Space group: F-43m, No. 216
Formation energy from the elements: 484 meV/atom

Structure (extended XYZ):
```
6
Lattice="0.0000 5.2399 5.2399 5.2399 0.0000 5.2399 5.2399 5.2399 0.0000" Properties=species:S:1:pos:R:3 pbc="T T T"
K 1.3012 1.3012 1.3012
K 3.9387 3.9387 1.3012
K 3.9387 1.3012 3.9387
K 1.3012 3.9387 3.9387
Y 5.2399 5.2399 5.2399
Tl 7.8599 7.8599 7.8599
```

=====

Here is a relaxed K2YTl crystal from Alexandria. Energies are from PBE.

Calculated values
Energy relative to the lowest polymorph listed for this composition: 0.0 meV/atom
Space group: C2/m, No. 12
Formation energy from the elements: 41 meV/atom

Structure (extended XYZ):
```
4
Lattice="10.4651 -1.9364 0.0000 10.4651 1.9364 0.0000 -1.1507 0.0000 4.7901" Properties=species:S:1:pos:R:3 pbc="T T T"
K 3.1433 0.0000 0.7496
K 16.6363 0.0000 4.0405
Y -0.5754 0.0000 2.3951
Tl 10.4651 0.0000 0.0000
```

=====

Here is a relaxed KY2Tl crystal from Alexandria. Energies are from PBE.

Calculated values
Energy relative to the lowest polymorph listed for this composition: 291.1 meV/atom
Space group: F-43m, No. 216
Formation energy from the elements: 326 meV/atom

Structure (extended XYZ):
```
4
Lattice="0.0000 4.0495 4.0495 4.0495 0.0000 4.0495 4.0495 4.0495 0.0000" Properties=species:S:1:pos:R:3 pbc="T T T"
K 0.0000 0.0000 0.0000
Y 4.0495 4.0495 4.0495
Y 6.0742 6.0742 6.0742
Tl 2.0247 2.0247 2.0247
```

=====

Here is a relaxed K2YTl2 crystal from Alexandria. Energies are from PBE.

Calculated values
Space group: P4/mbm, No. 127
Formation energy from the elements: 96 meV/atom

Structure (extended XYZ):
```
10
Lattice="8.1090 0.0000 0.0000 0.0000 8.1090 0.0000 0.0000 0.0000 6.0502" Properties=species:S:1:pos:R:3 pbc="T T T"
K 1.3892 2.6653 0.0000
K 2.6653 6.7198 0.0000
K 5.4437 1.3892 0.0000
K 6.7198 5.4437 0.0000
Y 0.0000 0.0000 3.0251
Y 4.0545 4.0545 3.0251
Tl 1.1074 5.1619 3.0251
Tl 2.9471 1.1074 3.0251
Tl 5.1619 7.0016 3.0251
Tl 7.0016 2.9471 3.0251
```

=====

Here is a relaxed KY2Tl crystal from Alexandria. Energies are from PBE.

Calculated values
Energy relative to the lowest polymorph listed for this composition: 111.0 meV/atom
Space group: C2/m, No. 12
Formation energy from the elements: 146 meV/atom

Structure (extended XYZ):
```
4
Lattice="5.6925 -1.8481 0.0000 5.6925 1.8481 0.0000 -1.1922 0.0000 6.4523" Properties=species:S:1:pos:R:3 pbc="T T T"
K 0.0000 0.0000 0.0000
Y 1.7470 0.0000 4.5318
Y 8.4458 0.0000 1.9204
Tl 5.0964 0.0000 3.2261
```

=====

Here is a relaxed KY2Tl crystal from Alexandria. Energies are from PBE.

Calculated values
Energy relative to the lowest polymorph listed for this composition: 187.3 meV/atom
Space group: Cm, No. 8
Formation energy from the elements: 222 meV/atom

Structure (extended XYZ):
```
4
Lattice="5.8029 -1.7585 0.0000 5.8029 1.7585 0.0000 -1.0210 0.0000 6.9877" Properties=species:S:1:pos:R:3 pbc="T T T"
K 0.0000 0.0000 0.0000
Y 1.9419 0.0000 4.6905
Y 5.1246 0.0000 3.3652
Tl 8.3591 0.0000 1.9770
```

=====

Here is a relaxed KY2Tl crystal from Alexandria. Energies are from PBE.

Calculated values
Energy relative to the lowest polymorph listed for this composition: 51.6 meV/atom
Space group: Immm, No. 71
Formation energy from the elements: 87 meV/atom

Structure (extended XYZ):
```
4
Lattice="-1.8340 3.0334 6.2864 1.8340 -3.0334 6.2864 1.8340 3.0334 -6.2864" Properties=species:S:1:pos:R:3 pbc="T T T"
K 0.0000 0.0000 0.0000
Y 1.8340 0.0000 3.6514
Y 0.0000 3.0334 2.6349
Tl 0.0000 0.0000 6.2864
```

=====

Number 1: volume 36.155 A^3/atom, calculated density 4.84 g/cm³. Number 2: volume 47.957 A^3/atom, calculated density 2.60 g/cm³. Number 3: volume 48.536 A^3/atom, calculated density 3.18 g/cm³. Number 4: volume 33.202 A^3/atom, calculated density 5.27 g/cm³. Number 5: volume 39.784 A^3/atom, calculated density 4.81 g/cm³. Number 6: volume 33.939 A^3/atom, calculated density 5.15 g/cm³. Number 7: volume 35.653 A^3/atom, calculated density 4.91 g/cm³. Number 8: volume 34.972 A^3/atom, calculated density 5.00 g/cm³.